(w)
## GeAsPtO (PBE)

Data for a relaxed structure of GeAsPtO.

a = 3.7987 Å, b = 3.7987 Å, c = 9.7060 Å
α = 90.00°, β = 90.00°, γ = 90.00°
With the nearest neighbours (Å) after each atom.
Atoms (fractional coordinates):
Ge (0.2500, 0.2500, 0.1010)  4 O 2.14
Ge (0.7500, 0.7500, 0.8990)  4 O 2.14
As (0.2500, 0.2500, 0.6733)  4 Pt 2.54
As (0.7500, 0.7500, 0.3267)  4 Pt 2.54
Pt (0.2500, 0.7500, 0.5000)  4 As 2.54, 4 Pt 2.69
Pt (0.7500, 0.2500, 0.5000)  4 As 2.54, 4 Pt 2.69
O (0.2500, 0.7500, 0.0000)  4 Ge 2.14
O (0.7500, 0.2500, 0.0000)  4 Ge 2.14

***

(x)
## GeAsPtO (PBE)

Data for a relaxed structure of GeAsPtO.

a = 4.2232 Å, b = 4.2232 Å, c = 7.7650 Å
α = 90.00°, β = 90.00°, γ = 90.00°
With the nearest neighbours (Å) after each atom.
Atoms (fractional coordinates):
Ge (0.2500, 0.7500, 0.0000)  4 As 2.61
Ge (0.7500, 0.2500, 0.0000)  4 As 2.61
As (0.2500, 0.2500, 0.1977)  4 Ge 2.61, 1 Pt 2.84
As (0.7500, 0.7500, 0.8023)  4 Ge 2.61, 1 Pt 2.84
Pt (0.2500, 0.2500, 0.5629)  4 O 2.17
Pt (0.7500, 0.7500, 0.4371)  4 O 2.17
O (0.2500, 0.7500, 0.5000)  4 Pt 2.17
O (0.7500, 0.2500, 0.5000)  4 Pt 2.17

***

(w) takes first place; second place is 0.792 eV/atom up.

***

(w)
## Cu5Ag4 (PBE)

Data for a relaxed structure of Cu5Ag4.

a = 4.8233 Å, b = 4.8233 Å, c = 6.6865 Å
α = 91.28°, β = 91.28°, γ = 122.22°
With the nearest neighbours (Å) after each atom.
Atoms (fractional coordinates):
Cu (0.0000, 0.0000, 0.0000)  8 Ag 2.67-2.91, 4 Cu 2.69-2.80
Cu (0.0066, 0.3163, 0.3383)  5 Cu 2.59-2.69, 6 Ag 2.71-2.82
Cu (0.3234, 0.3361, 0.6610)  5 Cu 2.59-2.80, 6 Ag 2.68-2.80
Cu (0.6639, 0.6766, 0.3390)  5 Cu 2.59-2.80, 6 Ag 2.68-2.80
Cu (0.6837, 0.9934, 0.6617)  5 Cu 2.59-2.69, 6 Ag 2.71-2.82
Ag (0.3382, 0.0063, 0.3384)  9 Cu 2.68-2.82, 3 Ag 2.75-2.81
Ag (0.3449, 0.6551, 0.0000)  7 Cu 2.67-2.91, 5 Ag 2.75-2.81
Ag (0.6706, 0.3294, 0.0000)  7 Cu 2.74-2.80, 5 Ag 2.75-2.79
Ag (0.9937, 0.6618, 0.6616)  9 Cu 2.68-2.82, 3 Ag 2.75-2.81

***

(x)
## Cu5Ag4 (PBE)

Data for a relaxed structure of Cu5Ag4.

a = 7.1479 Å, b = 7.1479 Å, c = 7.1479 Å
α = 39.37°, β = 39.37°, γ = 39.37°
With the nearest neighbours (Å) after each atom.
Atoms (fractional coordinates):
Cu (0.9999, 0.9999, 0.9999)  6 Cu 2.56-2.78, 6 Ag 2.78-2.82
Cu (0.1247, 0.7690, 0.4145)  6 Cu 2.56-2.70, 4 Ag 2.64-2.78
Cu (0.3333, 0.3333, 0.3333)  6 Cu 2.56-2.78, 6 Ag 2.78-2.83
Cu (0.4145, 0.1247, 0.7690)  6 Cu 2.56-2.70, 4 Ag 2.64-2.78
Cu (0.7690, 0.4145, 0.1247)  6 Cu 2.56-2.70, 4 Ag 2.64-2.78
Ag (0.2112, 0.5499, 0.8853)  5 Cu 2.69-2.83, 7 Ag 2.76-2.85
Ag (0.5499, 0.8853, 0.2112)  5 Cu 2.69-2.83, 7 Ag 2.76-2.85
Ag (0.6675, 0.6675, 0.6675)  9 Cu 2.64-2.78, 3 Ag 2.85
Ag (0.8853, 0.2112, 0.5499)  5 Cu 2.69-2.83, 7 Ag 2.76-2.85

***

(w) takes first place; second place is 0.005 eV/atom up.